Entry 1:
The following is a GGA-PBE calculation of a relaxed SrScAgP2 crystal, from the Alexandria database.

Cell lengths 5.0758, 5.0758, 4.9582 Å; angles 90.00, 90.00, 90.00 degrees
Closest atoms and distances in Å follow each position.
Element x y z (fractional)
Sr 0.0000 0.0000 0.0000  8 P 3.55, 4 Sc 3.59
Sc 0.5000 0.5000 0.0000  2 Ag 2.48
Ag 0.5000 0.5000 0.5000  2 Sc 2.48, 4 P 2.54
P 0.0000 0.5000 0.5000  2 Ag 2.54
P 0.5000 0.0000 0.5000  2 Ag 2.54

Results
The formation energy from the elements comes out at 281 meV per atom. The calculation puts the volume at 127.7 Å³/cell.


Entry 2:
The following is a GGA-PBE calculation of a relaxed Ho2Mg5Cd4 crystal, from the Alexandria database.

Cell lengths 10.0430, 8.8385, 6.4124 Å; angles 80.67, 60.28, 39.05 degrees
Closest atoms and distances in Å follow each position.
Element x y z (fractional)
Ho 0.1723 0.1723 0.8277  6 Cd 3.41-3.46, 4 Mg 3.46
Ho 0.8277 0.8277 0.1723  6 Cd 3.41-3.46, 4 Mg 3.46
Mg 0.0000 0.0000 0.5000  4 Mg 3.03-3.21, 4 Cd 3.08
Mg 0.2500 0.2500 0.2500  4 Cd 2.75, 2 Mg 3.03
Mg 0.5000 0.5000 0.0000  4 Mg 3.03-3.21, 4 Cd 3.08
Mg 0.5000 0.5000 0.5000  4 Cd 2.73
Mg 0.7500 0.7500 0.7500  4 Cd 2.75, 2 Mg 3.03
Cd 0.2318 0.4908 0.5092  3 Mg 2.73-2.75, 1 Cd 2.93
Cd 0.4908 0.2318 0.7682  3 Mg 2.73-2.75, 1 Cd 2.93
Cd 0.5092 0.7682 0.2318  3 Mg 2.73-2.75, 1 Cd 2.93
Cd 0.7682 0.5092 0.4908  3 Mg 2.73-2.75, 1 Cd 2.93

Results
The formation energy from the elements comes out at 6 meV per atom. The calculation puts the volume at 284.4 Å³/cell.


Entry 3:
The following is a GGA-PBE calculation of a relaxed CePm2As3 crystal, from the Alexandria database.

Cell lengths 7.3261, 7.3261, 7.3261 Å; angles 146.43, 131.83, 59.99 degrees
Closest atoms and distances in Å follow each position.
Element x y z (fractional)
Ce 0.0000 0.0000 0.0000  6 As 2.97-2.99
Pm 0.3330 0.3330 0.0000  6 As 2.99-3.01
Pm 0.6670 0.6670 0.0000  6 As 2.99-3.01
As 0.1639 0.6639 0.5000  2 Ce 2.97, 4 Pm 2.99-3.01
As 0.5000 0.0000 0.5000  2 Ce 2.99, 4 Pm 2.99
As 0.8361 0.3361 0.5000  2 Ce 2.97, 4 Pm 2.99-3.01

Results
The formation energy from the elements comes out at -1501 meV per atom. The calculation puts the volume at 160.5 Å³/cell.


Entry 4:
The following is a GGA-PBE calculation of a relaxed CdTc5 crystal, from the Alexandria database.

Cell lengths 5.2925, 5.2925, 6.5989 Å; angles 104.97, 104.97, 31.12 degrees
Closest atoms and distances in Å follow each position.
Element x y z (fractional)
Cd 0.0000 0.0000 0.0000  10 Tc 2.79-2.91, 2 Cd 2.84
Tc 0.0501 0.0501 0.5868  11 Tc 2.65-2.84, 1 Cd 2.91
Tc 0.3261 0.3261 0.6552  10 Tc 2.65-2.84, 2 Cd 2.86
Tc 0.3670 0.3670 0.2661  9 Tc 2.64-2.84, 2 Cd 2.87
Tc 0.6687 0.6687 0.3455  8 Tc 2.64-2.84, 2 Cd 2.84
Tc 0.7173 0.7173 0.9160  9 Tc 2.69-3.01, 3 Cd 2.79-2.81

Results
The formation energy from the elements comes out at 225 meV per atom. The calculation puts the volume at 92.0 Å³/cell. The relative energy among the computed polymorphs comes out at 2.7 kJ/mol of atoms.


Entry 5:
The following is a GGA-PBE calculation of a relaxed FeHg crystal, from the Alexandria database.

Cell lengths 9.1763, 9.1763, 9.1763 Å; angles 18.94, 18.94, 18.94 degrees
Closest atoms and distances in Å follow each position.
Element x y z (fractional)
Fe 0.1363 0.1363 0.1363  3 Fe 2.39
Fe 0.8637 0.8637 0.8637  3 Fe 2.39
Hg 0.3857 0.3857 0.3857  3 Fe 2.86, 6 Hg 3.02
Hg 0.6143 0.6143 0.6143  3 Fe 2.86, 6 Hg 3.02

Results
The formation energy from the elements comes out at 381 meV per atom. The calculation puts the volume at 71.1 Å³/cell.


Entry 6:
The following is a GGA-PBE calculation of a relaxed SrSe2Cl crystal, from the Alexandria database.

Cell lengths 4.4119, 5.9548, 4.5537 Å; angles 90.00, 97.31, 90.00 degrees
Closest atoms and distances in Å follow each position.
Element x y z (fractional)
Sr 0.0000 0.0000 0.0000  2 Cl 2.96, 4 Se 3.21
Se 0.2153 0.5000 0.8605  2 Se 2.42-2.67
Se 0.7847 0.5000 0.1395  2 Se 2.42-2.67
Cl 0.5000 0.0000 0.5000  2 Sr 2.96

Results
The calculation puts the volume at 118.7 Å³/cell. The calculation puts the formation energy (no corrections) at -1285 meV per atom. The relative energy among the computed polymorphs comes out at 0.0 kJ/mol of atoms.